(w)
Entry from the Alexandria database: an optimized crystal structure of TaC3F (PBE-GGA).

Geometry as POSCAR:
```
TaC3F
1.0
4.203 0.000 0.000
0.000 4.203 0.000
0.000 0.000 4.203
C F Ta
3 1 1
Direct
0.000 0.500 0.000
0.000 0.000 0.500
0.500 0.000 0.000
0.500 0.500 0.500
0.000 0.000 0.000
```

Output
Spin magnetization = 0.2 μB per formula unit
SG = Pm-3m

(x)
Entry from the Alexandria database: an optimized crystal structure of TaC3F (PBE-GGA).

Geometry as POSCAR:
```
TaC3F
1.0
3.612 0.000 0.000
0.000 3.612 0.000
0.000 0.000 3.612
C F Ta
3 1 1
Direct
0.000 0.500 0.000
0.000 0.000 0.500
0.500 0.000 0.000
0.000 0.000 0.000
0.500 0.500 0.500
```

Output
Spin magnetization = 0.0 μB per formula unit
SG = Pm-3m

Most stable: (w) (next structure +320 meV per atom)